A relaxed structure of NbCoRh. Source: Alexandria, functional PBE-GGA.

Cell: 7.2696 7.2696 7.2696 Å, 120.52 87.33 122.60°
Last column: nearest neighbours and their distance in Å.
Sites, in units of the cell vectors:
Nb  0.1766  0.0346  0.2112  3 Co 2.47-2.53, 4 Rh 2.61-2.67
Nb  0.1766  0.4654  0.6419  3 Co 2.47-2.53, 4 Rh 2.61-2.67
Nb  0.4466  0.7579  0.1887  6 Co 2.53-2.66, 3 Rh 2.57-2.77
Nb  0.5692  0.2579  0.8113  6 Co 2.53-2.66, 3 Rh 2.57-2.77
Nb  0.8234  0.5346  0.3581  3 Co 2.47-2.53, 4 Rh 2.61-2.67
Nb  0.8234  0.9654  0.7888  3 Co 2.47-2.53, 4 Rh 2.61-2.67
Co  0.2433  0.2433  0.0000  4 Nb 2.53-2.66, 2 Rh 2.56
Co  0.2433  0.7433  0.5000  4 Nb 2.53-2.66, 2 Rh 2.56
Co  0.5471  0.2215  0.4468  4 Nb 2.47-2.54, 2 Co 2.55-2.73, 1 Rh 2.72
Co  0.5471  0.6003  0.8256  4 Nb 2.47-2.54, 2 Co 2.55-2.73, 1 Rh 2.72
Co  0.7746  0.1003  0.5532  4 Nb 2.47-2.54, 2 Co 2.55-2.73, 1 Rh 2.72
Co  0.7746  0.7215  0.1744  4 Nb 2.47-2.54, 2 Co 2.55-2.73, 1 Rh 2.72
Rh  0.0070  0.4759  0.0312  4 Nb 2.57-2.77
Rh  0.1438  0.0608  0.5831  4 Co 2.56-2.86, 5 Nb 2.62-2.77
Rh  0.4447  0.9759  0.9688  4 Nb 2.57-2.77
Rh  0.4777  0.5608  0.4169  4 Co 2.56-2.86, 5 Nb 2.62-2.77
Rh  0.8820  0.1654  0.2166  5 Nb 2.61-2.86, 2 Co 2.72, 2 Rh 2.92
Rh  0.9488  0.6654  0.7834  5 Nb 2.61-2.86, 2 Co 2.72, 2 Rh 2.92

Summary:
E_tot = -148.96 eV/cell